1.
Crystalline CsNa2MgPb at its relaxed geometry, computed with PBE-GGA.

Output
D(E_F) (states/eV/f.u.): 2.5
Energy (eV per atom): -1.683
Crystal system: tetragonal
DFT formation energy (meV/atom): 76
Energy above the lowest structure with this stoichiometry (meV per atom): 91.6

Structure (POSCAR):
```
CsNa2MgPb
1.0
6.240 0.000 0.000
0.000 6.240 0.000
0.000 0.000 5.599
Cs Na Mg Pb
1 2 1 1
Direct
0.000 0.000 0.000
0.000 0.500 0.500
0.500 0.000 0.500
0.500 0.500 0.500
0.500 0.500 0.000
```


2.
Crystalline Nd2BeSnPt6 at its relaxed geometry, computed with PBE-GGA.

Output
D(E_F) (states/eV/f.u.): 3.4
Energy (eV per atom): -6.114
Crystal system: triclinic
DFT formation energy (meV/atom): -763

Structure (POSCAR):
```
Nd2BeSnPt6
1.0
5.845 0.000 0.000
2.920 5.066 0.000
2.912 1.673 6.677
Nd Be Sn Pt
2 1 1 6
Direct
0.223 0.224 0.330
0.777 0.776 0.670
0.000 0.000 0.000
0.500 0.500 0.500
0.235 0.713 0.815
0.236 0.235 0.812
0.285 0.766 0.186
0.715 0.234 0.814
0.764 0.765 0.188
0.765 0.287 0.185
```


3.
Crystalline CsHgPb4 at its relaxed geometry, computed with PBE-GGA.

Output
D(E_F) (states/eV/f.u.): 7.7
Energy (eV per atom): -2.615
Crystal system: cubic
DFT formation energy (meV/atom): 50

Structure (POSCAR):
```
CsHgPb4
1.0
0.000 4.767 4.767
4.767 0.000 4.767
4.767 4.767 0.000
Cs Hg Pb
1 1 4
Direct
0.000 0.000 0.000
0.250 0.250 0.250
0.127 0.624 0.624
0.624 0.127 0.624
0.624 0.624 0.127
0.624 0.624 0.624
```


4.
Crystalline TePPd2Cl at its relaxed geometry, computed with PBE-GGA.

Output
Formation energy from raw total energies (eV/atom): 0.66
D(E_F) (states/eV/f.u.): 3.4
Energy (eV per atom): -3.499
Crystal system: tetragonal

Structure (POSCAR):
```
TePPd2Cl
1.0
4.574 0.000 0.000
0.000 4.574 0.000
0.000 0.000 5.002
Te P Pd Cl
1 1 2 1
Direct
0.000 0.000 0.000
0.500 0.500 0.000
0.000 0.500 0.500
0.500 0.000 0.500
0.500 0.500 0.500
```


5.
Crystalline Ca2ErSi3Pt4 at its relaxed geometry, computed with PBE-GGA.

Output
Formation energy from raw total energies (eV/atom): -0.98
D(E_F) (states/eV/f.u.): 3.5
Energy (eV per atom): -5.882
Crystal system: tetragonal

Structure (POSCAR):
```
Ca2ErSi3Pt4
1.0
4.263 0.000 0.000
0.000 4.263 0.000
0.000 0.000 10.685
Ca Er Si Pt
2 1 3 4
Direct
0.000 0.500 0.231
0.500 0.000 0.769
0.000 0.000 0.500
0.000 0.500 0.882
0.500 0.000 0.118
0.500 0.500 0.500
0.000 0.000 0.000
0.000 0.500 0.661
0.500 0.000 0.339
0.500 0.500 0.000
```


6.
Crystalline PrHo5Sc4 at its relaxed geometry, computed with PBE-GGA.

Output
D(E_F) (states/eV/f.u.): 15.3
Energy (eV per atom): -5.011
Crystal system: orthorhombic
DFT formation energy (meV/atom): 288
Energy above the lowest structure with this stoichiometry (meV per atom): 0.0

Structure (POSCAR):
```
PrHo5Sc4
1.0
-2.689 5.061 5.574
2.689 -5.061 5.574
2.689 5.061 -5.574
Pr Ho Sc
1 5 4
Direct
0.000 0.000 0.000
0.002 0.202 0.800
0.402 0.202 0.200
0.500 0.000 0.500
0.598 0.798 0.800
0.998 0.798 0.200
0.194 0.694 0.500
0.248 0.500 0.748
0.752 0.500 0.252
0.806 0.306 0.500
```


7.
Crystalline Sr2ErZnAu6 at its relaxed geometry, computed with PBE-GGA.

Output
D(E_F) (states/eV/f.u.): 4.4
Energy (eV per atom): -3.432
Crystal system: triclinic
DFT formation energy (meV/atom): -546

Structure (POSCAR):
```
Sr2ErZnAu6
1.0
6.081 0.000 0.000
1.744 5.952 0.000
2.920 1.810 6.638
Sr Er Zn Au
2 1 1 6
Direct
0.011 0.372 0.289
0.989 0.628 0.711
0.500 0.000 0.500
0.500 0.000 0.000
0.003 0.093 0.772
0.364 0.701 0.904
0.454 0.644 0.322
0.546 0.356 0.678
0.636 0.299 0.096
0.997 0.907 0.228
```


8.
Crystalline NbSeI at its relaxed geometry, computed with PBE-GGA.

Output
Formation energy from raw total energies (eV/atom): -0.31
D(E_F) (states/eV/f.u.): 1.0
Energy (eV per atom): -5.344
Crystal system: triclinic

Structure (POSCAR):
```
NbSeI
1.0
6.232 0.000 0.000
-0.082 6.234 0.000
-0.144 -0.132 6.272
Nb Se I
2 2 2
Direct
0.000 0.249 0.000
0.000 0.751 0.000
0.216 0.999 0.785
0.784 0.001 0.215
0.258 0.508 0.258
0.742 0.492 0.742
```


9.
Crystalline K2Ag2Pb at its relaxed geometry, computed with PBE-GGA.

Output
D(E_F) (states/eV/f.u.): 2.3
Energy (eV per atom): -1.984
Crystal system: tetragonal
DFT formation energy (meV/atom): 337
Energy above the lowest structure with this stoichiometry (meV per atom): 377.6

Structure (POSCAR):
```
K2Ag2Pb
1.0
-2.367 2.367 7.366
2.367 -2.367 7.366
2.367 2.367 -7.366
K Ag Pb
2 2 1
Direct
0.250 0.750 0.500
0.750 0.250 0.500
0.091 0.091 0.000
0.909 0.909 0.000
0.500 0.500 0.000
```


10.
Crystalline BaSb2Br at its relaxed geometry, computed with PBE-GGA.

Output
Formation energy from raw total energies (eV/atom): -0.83
D(E_F) (states/eV/f.u.): 1.5
Energy (eV per atom): -3.789
Crystal system: tetragonal
Energy above the lowest structure with this stoichiometry (meV per atom): 89.8

Structure (POSCAR):
```
BaSb2Br
1.0
-2.263 2.263 14.266
2.263 -2.263 14.266
2.263 2.263 -14.266
Ba Sb Br
2 4 2
Direct
0.000 0.000 0.000
0.750 0.250 0.500
0.164 0.625 0.039
0.375 0.414 0.539
0.586 0.125 0.961
0.875 0.836 0.461
0.250 0.750 0.500
0.500 0.500 0.000
```


11.
Crystalline Li2PaGeN4 at its relaxed geometry, computed with PBE-GGA.

Output
Formation energy from raw total energies (eV/atom): -0.34
D(E_F) (states/eV/f.u.): 0.8
Energy (eV per atom): -6.745
Crystal system: orthorhombic

Structure (POSCAR):
```
Li2PaGeN4
1.0
1.664 -6.139 0.000
1.664 6.139 0.000
0.000 0.000 9.129
Li Pa Ge N
4 2 2 8
Direct
0.090 0.910 0.540
0.090 0.910 0.960
0.910 0.090 0.040
0.910 0.090 0.460
0.434 0.566 0.750
0.566 0.434 0.250
0.296 0.704 0.250
0.704 0.296 0.750
0.119 0.881 0.750
0.173 0.827 0.131
0.173 0.827 0.369
0.500 0.500 0.000
0.500 0.500 0.500
0.827 0.173 0.631
0.827 0.173 0.869
0.881 0.119 0.250
```


12.
Crystalline Ca3Co2Sn3 at its relaxed geometry, computed with PBE-GGA.

Output
D(E_F) (states/eV/f.u.): 4.8
Energy (eV per atom): -4.392
Crystal system: triclinic
DFT formation energy (meV/atom): -364

Structure (POSCAR):
```
Ca3Co2Sn3
1.0
4.317 0.000 0.000
-0.002 5.252 0.000
-2.155 -1.296 8.462
Ca Co Sn
3 2 3
Direct
0.000 0.000 0.000
0.161 0.565 0.322
0.839 0.435 0.678
0.223 0.067 0.445
0.777 0.933 0.555
0.359 0.932 0.718
0.500 0.500 0.000
0.641 0.068 0.282
```


13.
Crystalline BeRuCl2 at its relaxed geometry, computed with PBE-GGA.

Output
Formation energy from raw total energies (eV/atom): 0.10
D(E_F) (states/eV/f.u.): 2.1
Energy (eV per atom): -4.077
Crystal system: orthorhombic
Energy above the lowest structure with this stoichiometry (meV per atom): 333.4

Structure (POSCAR):
```
BeRuCl2
1.0
-1.480 4.039 4.480
1.480 -4.039 4.480
1.480 4.039 -4.480
Be Ru Cl
1 1 2
Direct
0.000 0.000 0.000
0.223 0.723 0.500
0.424 0.424 0.000
0.848 0.348 0.500
```